Compound: Pu2AgAs
Source: Alexandria via LeMat-Bulk
Functional: PBE
Structure: relaxed

## Properties
Total moment   11.830 μB per formula unit
Crystal system   trigonal
ΔE to the lowest computed polymorph   150 meV per atom
Formation energy from the elements   -0.282 eV/atom

a = 4.0492 Å, b = 4.0492 Å, c = 23.0162 Å
α = 90.00°, β = 90.00°, γ = 120.00°
Space group R-3m (No. 166, hexagonal axes)
Inequivalent atoms, fractional coordinates:
Pu (0.0000, 0.0000, 0.2415) (multiplicity 6)
Ag (0.0000, 0.0000, 0.0000) (multiplicity 3)
As (0.0000, 0.0000, 0.5000) (multiplicity 3)



Compound: CsPuThO6
Source: Alexandria via LeMat-Bulk
Functional: PBE
Structure: relaxed

## Properties
Total moment   1.000 μB per formula unit
Crystal system   orthorhombic
E   -77.1 eV/f.u.

a = 7.670 Å, b = 8.252 Å, c = 10.381 Å
α = 90.00°, β = 90.00°, γ = 90.00°
Space group Imma (No. 74)
Inequivalent atoms, fractional coordinates:
Cs (0.000, 0.250, 0.146) (multiplicity 4)
Pu (0.000, 0.000, 0.500) (multiplicity 4)
Th (0.250, 0.250, 0.750) (multiplicity 4)
O (0.000, 0.250, 0.576) (multiplicity 4)
O (0.000, 0.250, 0.853) (multiplicity 4)
O (0.179, 0.016, 0.370) (multiplicity 16)



Compound: Pr2AlBr
Source: Alexandria via LeMat-Bulk
Functional: PBE
Structure: relaxed

## Properties
Total moment   0.000 μB per formula unit
Crystal system   tetragonal
ΔE to the lowest computed polymorph   0 meV per atom

a = 3.563 Å, b = 3.563 Å, c = 8.589 Å
α = 90.00°, β = 90.00°, γ = 90.00°
Space group P4/mmm (No. 123)
Inequivalent atoms, fractional coordinates:
Pr (0.000, 0.000, 0.231) (multiplicity 2)
Al (0.500, 0.500, 0.000) (multiplicity 1)
Br (0.500, 0.500, 0.500) (multiplicity 1)



Compound: SbPtPbI2
Source: Alexandria via LeMat-Bulk
Functional: PBE
Structure: relaxed

## Properties
Total moment   0.000 μB per formula unit
Crystal system   tetragonal
ΔE to the lowest computed polymorph   0 meV per atom

a = 5.527 Å, b = 5.527 Å, c = 5.305 Å
α = 90.00°, β = 90.00°, γ = 90.00°
Space group P4/mmm (No. 123)
Inequivalent atoms, fractional coordinates:
Sb (0.000, 0.000, 0.000) (multiplicity 1)
Pt (0.000, 0.000, 0.500) (multiplicity 1)
Pb (0.500, 0.500, 0.000) (multiplicity 1)
I (0.000, 0.500, 0.500) (multiplicity 2)



Compound: TbPm4Sn5
Source: Alexandria via LeMat-Bulk
Functional: PBE
Structure: relaxed

## Properties
Total moment   0.000 μB per formula unit
Crystal system   tetragonal
Formation energy from the elements   -0.672 eV/atom

a = 3.512 Å, b = 3.512 Å, c = 22.547 Å
α = 90.00°, β = 90.00°, γ = 90.00°
Space group P4/mmm (No. 123)
Inequivalent atoms, fractional coordinates:
Tb (0.000, 0.000, 0.000) (multiplicity 1)
Pm (0.000, 0.000, 0.198) (multiplicity 2)
Pm (0.000, 0.000, 0.399) (multiplicity 2)
Sn (0.500, 0.500, 0.097) (multiplicity 2)
Sn (0.500, 0.500, 0.299) (multiplicity 2)
Sn (0.500, 0.500, 0.500) (multiplicity 1)



Compound: Li2ScSbS
Source: Alexandria via LeMat-Bulk
Functional: PBE
Structure: relaxed

## Properties
Total moment   0.000 μB per formula unit
Crystal system   tetragonal
E   -23.6 eV/f.u.

a = 4.483 Å, b = 4.483 Å, c = 5.033 Å
α = 90.00°, β = 90.00°, γ = 90.00°
Space group P4/mmm (No. 123)
Inequivalent atoms, fractional coordinates:
Li (0.000, 0.500, 0.000) (multiplicity 2)
Sc (0.000, 0.000, 0.500) (multiplicity 1)
Sb (0.500, 0.500, 0.500) (multiplicity 1)
S (0.000, 0.000, 0.000) (multiplicity 1)



Compound: TlInW2
Source: Alexandria via LeMat-Bulk
Functional: PBE
Structure: relaxed

## Properties
Total moment   0.000 μB per formula unit
Crystal system   tetragonal
ΔE to the lowest computed polymorph   525 meV per atom
Formation energy from the elements   1.055 eV/atom

a = 4.057 Å, b = 4.057 Å, c = 9.253 Å
α = 90.00°, β = 90.00°, γ = 90.00°
Space group I4/mmm (No. 139)
Inequivalent atoms, fractional coordinates:
Tl (0.000, 0.000, 0.000) (multiplicity 2)
In (0.000, 0.000, 0.500) (multiplicity 2)
W (0.000, 0.500, 0.250) (multiplicity 4)



Compound: PmSc2Fe
Source: Alexandria via LeMat-Bulk
Functional: PBE
Structure: relaxed

## Properties
Total moment   0.001 μB per formula unit
Crystal system   trigonal
ΔE to the lowest computed polymorph   265 meV per atom
Formation energy from the elements   0.225 eV/atom

a = 4.3675 Å, b = 4.3675 Å, c = 16.7416 Å
α = 90.00°, β = 90.00°, γ = 120.00°
Space group R-3m (No. 166, hexagonal axes)
Inequivalent atoms, fractional coordinates:
Pm (0.0000, 0.0000, 0.0000) (multiplicity 3)
Sc (0.0000, 0.0000, 0.2128) (multiplicity 6)
Fe (0.0000, 0.0000, 0.5000) (multiplicity 3)



Compound: LiBe3Cl
Source: Alexandria via LeMat-Bulk
Functional: PBE
Structure: relaxed

## Properties
Total moment   0.000 μB per formula unit
Crystal system   cubic
ΔE to the lowest computed polymorph   0 meV per atom

a = 4.250 Å, b = 4.250 Å, c = 4.250 Å
α = 90.00°, β = 90.00°, γ = 90.00°
Space group Pm-3m (No. 221)
Inequivalent atoms, fractional coordinates:
Li (0.000, 0.000, 0.000) (multiplicity 1)
Be (0.000, 0.500, 0.500) (multiplicity 3)
Cl (0.500, 0.500, 0.500) (multiplicity 1)



Compound: NaLiBi
Source: Alexandria via LeMat-Bulk
Functional: PBE
Structure: relaxed

## Properties
Total moment   0.000 μB per formula unit
Crystal system   orthorhombic
ΔE to the lowest computed polymorph   0 meV per atom
Formation energy from the elements   -0.416 eV/atom

a = 3.607 Å, b = 4.899 Å, c = 8.700 Å
α = 90.00°, β = 90.00°, γ = 90.00°
Space group Pmmn (No. 59, origin choice 2)
Inequivalent atoms, fractional coordinates:
Na (0.250, 0.250, 0.118) (multiplicity 2)
Li (0.250, 0.750, 0.535) (multiplicity 2)
Bi (0.250, 0.250, 0.734) (multiplicity 2)



Compound: Ce5NdSb6
Source: Alexandria via LeMat-Bulk
Functional: PBE
Structure: relaxed

## Properties
Total moment   4.124 μB per formula unit
Crystal system   monoclinic
E   -72.0 eV/f.u.

a = 7.806 Å, b = 13.519 Å, c = 7.798 Å
α = 90.00°, β = 109.49°, γ = 90.00°
Space group C2/m (No. 12)
Inequivalent atoms, fractional coordinates:
Ce (0.000, 0.000, 0.000) (multiplicity 2)
Ce (0.000, 0.167, 0.500) (multiplicity 4)
Ce (0.000, 0.334, 0.000) (multiplicity 4)
Nd (0.000, 0.500, 0.500) (multiplicity 2)
Sb (0.249, 0.000, 0.751) (multiplicity 4)
Sb (0.249, 0.167, 0.249) (multiplicity 8)



Compound: ZrGeRh2
Source: Alexandria via LeMat-Bulk
Functional: PBE
Structure: relaxed

## Properties
Total moment   0.000 μB per formula unit
Crystal system   orthorhombic
Formation energy from the elements   -0.793 eV/atom

a = 13.690 Å, b = 7.126 Å, c = 5.375 Å
α = 90.00°, β = 90.00°, γ = 90.00°
Space group Pnma (No. 62)
Inequivalent atoms, fractional coordinates:
Zr (0.115, 0.250, 0.221) (multiplicity 4)
Zr (0.134, 0.750, 0.008) (multiplicity 4)
Ge (0.068, 0.750, 0.514) (multiplicity 4)
Ge (0.180, 0.250, 0.728) (multiplicity 4)
Rh (0.032, 0.045, 0.762) (multiplicity 8)
Rh (0.218, 0.550, 0.512) (multiplicity 8)



Question: Which value of total moment does entry 4 give?
Answer: 0.000 μB per formula unit